w.
VASP calculation (PBE) on a geometry-optimized Mg5Fe structure.

Calculated values
- Space group: P6/mmm, No. 191

Lattice parameters (Å, degrees): 5.5901 5.5901 5.0491 90.00 90.00 120.00
With the nearest neighbours (Å) after each atom.
Sites, in units of the cell vectors:
Mg 0.3333 0.6667 0.0000  9 Mg 3.00-3.23, 3 Fe 3.23
Mg 0.6667 0.3333 0.0000  9 Mg 3.00-3.23, 3 Fe 3.23
Mg 0.5000 0.0000 0.5000  8 Mg 2.80-3.00
Mg 0.0000 0.5000 0.5000  8 Mg 2.80-3.00
Mg 0.5000 0.5000 0.5000  8 Mg 2.80-3.00
Fe 0.0000 0.0000 0.0000  6 Mg 3.23

---

x.
VASP calculation (PBE) on a geometry-optimized Mg5Fe structure.

Calculated values
- Space group: Cmmm, No. 65

Lattice parameters (Å, degrees): 6.6547 6.6547 4.3133 90.00 90.00 141.68
With the nearest neighbours (Å) after each atom.
Sites, in units of the cell vectors:
Mg 0.3442 0.6558 0.5000  2 Fe 2.91, 10 Mg 2.93-3.22
Mg 0.1575 0.8425 0.0000  10 Mg 2.93-3.19, 2 Fe 2.95
Mg 0.0000 0.0000 0.5000  8 Mg 2.93, 4 Fe 3.07
Mg 0.8425 0.1575 0.0000  10 Mg 2.93-3.19, 2 Fe 2.95
Mg 0.6558 0.3442 0.5000  2 Fe 2.91, 10 Mg 2.93-3.22
Fe 0.5000 0.5000 0.0000  12 Mg 2.91-3.07

---

Most favorable structure: x. The second most favorable one is 379 meV/atom above it.

---

w.
VASP calculation (PBE) on a geometry-optimized Mg3Fe5 structure.

Calculated values
- Space group: Cmmm, No. 65

Lattice parameters (Å, degrees): 5.5163 5.5163 3.6731 90.00 90.00 91.02
With the nearest neighbours (Å) after each atom.
Sites, in units of the cell vectors:
Mg 0.5000 0.5000 0.0000  8 Fe 2.74-2.76, 4 Mg 2.74
Mg 0.7587 0.2413 0.5000  10 Fe 2.64-2.88, 2 Mg 2.74
Mg 0.2413 0.7587 0.5000  10 Fe 2.64-2.88, 2 Mg 2.74
Fe 0.0000 0.0000 0.0000  8 Fe 2.60-2.76, 4 Mg 2.64
Fe 0.0000 0.5000 0.0000  6 Mg 2.67-2.76, 6 Fe 2.69-2.76
Fe 0.5000 0.0000 0.0000  6 Mg 2.67-2.76, 6 Fe 2.69-2.76
Fe 0.2374 0.2374 0.5000  6 Fe 2.60-2.69, 6 Mg 2.64-2.88
Fe 0.7626 0.7626 0.5000  6 Fe 2.60-2.69, 6 Mg 2.64-2.88

---

x.
VASP calculation (PBE) on a geometry-optimized Mg3Fe5 structure.

Calculated values
- Space group: P-1, No. 2

Lattice parameters (Å, degrees): 7.7399 7.3592 6.7622 89.72 105.56 140.01
With the nearest neighbours (Å) after each atom.
Sites, in units of the cell vectors:
Mg 0.7143 0.6782 0.9250  8 Fe 2.68-2.99, 3 Mg 2.72-2.93
Mg 0.2849 0.3218 0.0750  8 Fe 2.68-2.99, 3 Mg 2.72-2.93
Mg 0.4348 0.2693 0.5159  5 Fe 2.54-2.77, 2 Mg 2.73-2.75
Mg 0.5643 0.7307 0.4841  5 Fe 2.54-2.77, 2 Mg 2.73-2.74
Mg 0.9649 0.5465 0.7875  9 Fe 2.60-2.88, 1 Mg 2.75
Mg 0.0342 0.4535 0.2126  9 Fe 2.60-2.88, 1 Mg 2.74
Fe 0.3185 0.8457 0.5928  4 Fe 2.38-2.59, 2 Mg 2.60
Fe 0.6806 0.1543 0.4072  4 Fe 2.38-2.59, 2 Mg 2.60
Fe 0.7663 0.0699 0.8364  3 Fe 2.38-2.64, 3 Mg 2.54-2.65
Fe 0.2329 0.9302 0.1636  3 Fe 2.38-2.64, 3 Mg 2.54-2.65
Fe 0.8529 0.6280 0.3437  5 Fe 2.51-2.70, 2 Mg 2.77-2.80
Fe 0.1463 0.3721 0.6564  5 Fe 2.51-2.70, 2 Mg 2.77-2.80
Fe 0.5146 0.1706 0.9502  4 Fe 2.39-2.53, 1 Mg 2.65
Fe 0.4846 0.8293 0.0497  4 Fe 2.39-2.53, 1 Mg 2.65
Fe 0.9257 0.0254 0.3041  4 Fe 2.45-2.74, 4 Mg 2.55-2.69
Fe 0.0735 0.9747 0.6959  4 Fe 2.45-2.74, 4 Mg 2.55-2.69

---

y.
VASP calculation (PBE) on a geometry-optimized Mg3Fe5 structure.

Calculated values
- Space group: P6_3/mcm, No. 193

Lattice parameters (Å, degrees): 7.8394 7.8394 4.5796 90.00 90.00 120.00
With the nearest neighbours (Å) after each atom.
Sites, in units of the cell vectors:
Mg 0.6100 0.0000 0.2500  8 Fe 2.65-2.81, 2 Mg 2.87
Mg 0.3900 0.0000 0.7500  8 Fe 2.65-2.81, 2 Mg 2.87
Mg 0.0000 0.6100 0.2500  8 Fe 2.65-2.81, 2 Mg 2.87
Mg 0.3900 0.3900 0.2500  8 Fe 2.65-2.81, 2 Mg 2.87
Mg 0.6100 0.6100 0.7500  8 Fe 2.65-2.81, 2 Mg 2.87
Mg 0.0000 0.3900 0.7500  8 Fe 2.65-2.81, 2 Mg 2.87
Fe 0.3333 0.6667 0.0000  2 Fe 2.29
Fe 0.6667 0.3333 0.5000  2 Fe 2.29
Fe 0.6667 0.3333 0.0000  2 Fe 2.29
Fe 0.3333 0.6667 0.5000  2 Fe 2.29
Fe 0.1813 0.0000 0.2500  6 Fe 2.46-2.70, 2 Mg 2.65
Fe 0.8187 0.0000 0.7500  6 Fe 2.46-2.70, 2 Mg 2.65
Fe 0.0000 0.1813 0.2500  6 Fe 2.46-2.70, 2 Mg 2.65
Fe 0.8187 0.8187 0.2500  6 Fe 2.46-2.70, 2 Mg 2.65
Fe 0.1813 0.1813 0.7500  6 Fe 2.46-2.70, 2 Mg 2.65
Fe 0.0000 0.8187 0.7500  6 Fe 2.46-2.70, 2 Mg 2.65

---

Most favorable structure: x. The second most favorable one is 30 meV/atom above it.

---

w.
VASP calculation (PBE) on a geometry-optimized Mg3Fe2 structure.

Calculated values
- Space group: R-3m, No. 166

Lattice parameters (Å, degrees): 11.8106 11.8106 11.8106 13.99 13.99 13.99
With the nearest neighbours (Å) after each atom.
Sites, in units of the cell vectors:
Mg 0.0000 0.0000 0.0000  6 Fe 2.80, 6 Mg 2.88
Mg 0.7936 0.7936 0.7936  3 Fe 2.75, 6 Mg 2.88
Mg 0.2064 0.2064 0.2064  3 Fe 2.75, 6 Mg 2.88
Fe 0.3977 0.3977 0.3977  6 Mg 2.75-2.80, 6 Fe 2.88
Fe 0.6023 0.6023 0.6023  6 Mg 2.75-2.80, 6 Fe 2.88

---

x.
VASP calculation (PBE) on a geometry-optimized Mg3Fe2 structure.

Calculated values
- Space group: Fdd2, No. 43

Lattice parameters (Å, degrees): 8.4364 7.3298 5.4441 81.21 59.16 39.62
With the nearest neighbours (Å) after each atom.
Sites, in units of the cell vectors:
Mg 0.7313 0.4764 0.3486  4 Fe 2.65-2.95, 4 Mg 2.78-2.89
Mg 0.4437 0.3486 0.4764  4 Fe 2.65-2.95, 4 Mg 2.78-2.89
Mg 0.7736 0.5187 0.8063  4 Fe 2.65-2.95, 4 Mg 2.78-2.89
Mg 0.9014 0.8063 0.5187  4 Fe 2.65-2.95, 4 Mg 2.78-2.89
Mg 0.0847 0.9153 0.9153  6 Fe 2.73-2.89, 4 Mg 2.87-2.89
Mg 0.3347 0.1653 0.1653  6 Fe 2.73-2.89, 4 Mg 2.87-2.89
Fe 0.1783 0.9042 0.3555  7 Mg 2.65-2.95, 2 Fe 2.74
Fe 0.5620 0.3555 0.9042  7 Mg 2.65-2.95, 2 Fe 2.74
Fe 0.3458 0.0717 0.6880  7 Mg 2.65-2.95, 2 Fe 2.74
Fe 0.8945 0.6880 0.0717  7 Mg 2.65-2.95, 2 Fe 2.74

---

Most favorable structure: w. The second most favorable one is 14 meV/atom above it.

---

w.
VASP calculation (PBE) on a geometry-optimized Mg4Fe structure.

Calculated values
- Space group: Pm-3m, No. 221

Lattice parameters (Å, degrees): 4.9252 4.9252 4.9252 90.00 90.00 90.00
With the nearest neighbours (Å) after each atom.
Sites, in units of the cell vectors:
Mg 0.0000 0.0000 0.0000  12 Mg 3.48
Mg 0.5000 0.0000 0.5000  2 Fe 2.46
Mg 0.0000 0.5000 0.5000  2 Fe 2.46
Mg 0.5000 0.5000 0.0000  2 Fe 2.46
Fe 0.5000 0.5000 0.5000  6 Mg 2.46

---

x.
VASP calculation (PBE) on a geometry-optimized Mg4Fe structure.

Calculated values
- Space group: I4/mmm, No. 139

Lattice parameters (Å, degrees): 8.1663 8.1663 8.1663 153.26 153.26 38.17
With the nearest neighbours (Å) after each atom.
Sites, in units of the cell vectors:
Mg 0.7500 0.2500 0.5000  4 Mg 2.67
Mg 0.2500 0.7500 0.5000  4 Mg 2.67
Mg 0.5891 0.5891 0.0000  1 Mg 2.75, 4 Fe 3.00
Mg 0.4109 0.4109 0.0000  1 Mg 2.75, 4 Fe 3.00
Fe 0.0000 0.0000 0.0000  8 Mg 3.00

---

Most favorable structure: w. The second most favorable one is 49 meV/atom above it.

---

w.
VASP calculation (PBE) on a geometry-optimized Mg5Fe4 structure.

Calculated values
- Space group: I4/mmm, No. 139

Lattice parameters (Å, degrees): 6.8188 6.8188 6.8188 93.54 93.54 151.23
With the nearest neighbours (Å) after each atom.
Sites, in units of the cell vectors:
Mg 0.0000 0.0000 0.0000  8 Mg 2.80
Mg 0.6690 0.3310 0.0000  4 Mg 2.73-2.80, 4 Fe 2.92
Mg 0.3310 0.6690 0.0000  4 Mg 2.73-2.80, 4 Fe 2.92
Mg 0.3310 0.3310 0.6621  4 Mg 2.73-2.80, 4 Fe 2.92
Mg 0.6690 0.6690 0.3379  4 Mg 2.73-2.80, 4 Fe 2.92
Fe 0.6400 0.0000 0.6400  5 Fe 2.51-2.62
Fe 0.3600 0.0000 0.3600  5 Fe 2.51-2.62
Fe 0.0000 0.3600 0.3600  5 Fe 2.51-2.62
Fe 0.0000 0.6400 0.6400  5 Fe 2.51-2.62

---

x.
VASP calculation (PBE) on a geometry-optimized Mg5Fe4 structure.

Calculated values
- Space group: P6_3/mcm, No. 193

Lattice parameters (Å, degrees): 7.9257 7.9257 5.4578 90.00 90.00 120.00
With the nearest neighbours (Å) after each atom.
Sites, in units of the cell vectors:
Mg 0.0000 0.6418 0.2500  4 Fe 2.57-2.81
Mg 0.3582 0.3582 0.2500  4 Fe 2.57-2.81
Mg 0.6418 0.0000 0.2500  4 Fe 2.57-2.81
Mg 0.0000 0.3582 0.7500  4 Fe 2.57-2.81
Mg 0.6418 0.6418 0.7500  4 Fe 2.57-2.81
Mg 0.3582 0.0000 0.7500  4 Fe 2.57-2.81
Mg 0.6667 0.3333 0.0000  8 Mg 2.73-2.89
Mg 0.3333 0.6667 0.5000  8 Mg 2.73-2.89
Mg 0.3333 0.6667 0.0000  8 Mg 2.73-2.89
Mg 0.6667 0.3333 0.5000  8 Mg 2.73-2.89
Fe 0.0000 0.0000 0.0000  8 Fe 2.56-2.73
Fe 0.0000 0.0000 0.5000  8 Fe 2.56-2.73
Fe 0.0000 0.2726 0.2500  2 Fe 2.56, 4 Mg 2.57-2.81
Fe 0.7274 0.7274 0.2500  2 Fe 2.56, 4 Mg 2.57-2.81
Fe 0.2726 0.0000 0.2500  2 Fe 2.56, 4 Mg 2.57-2.81
Fe 0.0000 0.7274 0.7500  2 Fe 2.56, 4 Mg 2.57-2.81
Fe 0.2726 0.2726 0.7500  2 Fe 2.56, 4 Mg 2.57-2.81
Fe 0.7274 0.0000 0.7500  2 Fe 2.56, 4 Mg 2.57-2.81

---

Most favorable structure: w. The second most favorable one is 110 meV/atom above it.

---

w.
VASP calculation (PBE) on a geometry-optimized Mg3MnFe structure.

Calculated values
- Space group: Pm-3m, No. 221

Lattice parameters (Å, degrees): 4.9184 4.9184 4.9184 90.00 90.00 90.00
With the nearest neighbours (Å) after each atom.
Sites, in units of the cell vectors:
Mg 0.0000 0.5000 0.0000  2 Mn 2.46
Mg 0.0000 0.0000 0.5000  2 Mn 2.46
Mg 0.5000 0.0000 0.0000  2 Mn 2.46
Mn 0.0000 0.0000 0.0000  6 Mg 2.46
Fe 0.5000 0.5000 0.5000  12 Mg 3.48

---

x.
VASP calculation (PBE) on a geometry-optimized Mg3MnFe structure.

Calculated values
- Space group: Pm-3m, No. 221

Lattice parameters (Å, degrees): 4.7406 4.7406 4.7406 90.00 90.00 90.00
With the nearest neighbours (Å) after each atom.
Sites, in units of the cell vectors:
Mg 0.0000 0.5000 0.0000  2 Fe 2.37
Mg 0.0000 0.0000 0.5000  2 Fe 2.37
Mg 0.5000 0.0000 0.0000  2 Fe 2.37
Mn 0.5000 0.5000 0.5000  12 Mg 3.35
Fe 0.0000 0.0000 0.0000  6 Mg 2.37

---

Most favorable structure: w. The second most favorable one is 168 meV/atom above it.